(1)
ReAsPb2: optimized geometry, PBE.

Cell lengths 3.358, 3.350, 7.893 Å; angles 90.00, 90.10, 90.00 degrees
Space group P2/m (No. 10)
Unique sites:
1 Re 0.000 0.000 0.000 x1
2 As 0.000 0.000 0.500 x1
3 Pb 0.499 0.500 0.779 x2

Values from the calculation:
Total DFT energy (no corrections) in eV per cell: -21.06
Density of states at the Fermi level in states/eV per cell: 3.5
DFT formation energy in eV per atom: 0.863

(2)
Re2AsPb: optimized geometry, PBE.

Cell lengths 3.020, 5.126, 9.265 Å; angles 90.00, 90.00, 90.00 degrees
Space group Immm (No. 71)
Unique sites:
1 Re 0.000 0.000 0.216 x4
2 As 0.000 0.500 0.500 x2
3 Pb 0.000 0.500 0.000 x2

Values from the calculation:
Offset from the most stable computed form in meV/atom: 626.8
Total DFT energy (no corrections) in eV per cell: -59.26
Density of states at the Fermi level in states/eV per cell: 6.9
DFT formation energy in eV per atom: 0.906

(3)
Re2AsPb: optimized geometry, PBE.

Cell lengths 2.991, 2.991, 8.717 Å; angles 90.00, 90.00, 90.00 degrees
Space group P4mm (No. 99)
Unique sites:
1 Re 0.000 0.000 0.000 x1
2 Re 0.500 0.500 0.188 x1
3 As 0.000 0.000 0.377 x1
4 Pb 0.500 0.500 0.739 x1

Values from the calculation:
Offset from the most stable computed form in meV/atom: 0.0
Total DFT energy (no corrections) in eV per cell: -32.14
Density of states at the Fermi level in states/eV per cell: 2.7
DFT formation energy in eV per atom: 0.279

(4)
Re2AsPb: optimized geometry, PBE.

Cell lengths 3.174, 3.174, 6.821 Å; angles 90.00, 90.00, 90.00 degrees
Space group P4/mmm (No. 123)
Unique sites:
1 Re 0.000 0.000 0.204 x2
2 As 0.500 0.500 0.000 x1
3 Pb 0.500 0.500 0.500 x1

Values from the calculation:
Offset from the most stable computed form in meV/atom: 499.1
Total DFT energy (no corrections) in eV per cell: -30.14
Density of states at the Fermi level in states/eV per cell: 3.8
DFT formation energy in eV per atom: 0.778

(5)
Re2AsPb: optimized geometry, PBE.

Cell lengths 3.203, 4.125, 6.725 Å; angles 90.00, 90.00, 90.00 degrees
Space group Pm (No. 6)
Unique sites:
1 Re 0.000 0.000 0.000 x1
2 Re 0.498 0.500 0.035 x1
3 As 0.998 0.500 0.742 x1
4 Pb 0.500 0.000 0.369 x1

Values from the calculation:
Offset from the most stable computed form in meV/atom: 203.4
Total DFT energy (no corrections) in eV per cell: -31.32
Density of states at the Fermi level in states/eV per cell: 2.7
DFT formation energy in eV per atom: 0.482

(6)
Re2AsPb: optimized geometry, PBE.

Cell lengths 4.604, 3.082, 5.281 Å; angles 90.00, 111.64, 90.00 degrees
Space group P2/m (No. 10)
Unique sites:
1 Re 0.000 0.000 0.000 x1
2 Re 0.000 0.500 0.500 x1
3 As 0.500 0.000 0.500 x1
4 Pb 0.500 0.500 0.000 x1

Values from the calculation:
Offset from the most stable computed form in meV/atom: 683.1
Total DFT energy (no corrections) in eV per cell: -29.41
Density of states at the Fermi level in states/eV per cell: 5.0
DFT formation energy in eV per atom: 0.962

(7)
Re2AsPb: optimized geometry, PBE.

Cell lengths 8.470, 3.119, 6.861 Å; angles 90.00, 99.20, 90.00 degrees
Space group Cm (No. 8)
Unique sites:
1 Re 0.000 0.000 0.000 x2
2 Re 0.231 0.500 0.112 x2
3 As 0.264 0.000 0.810 x2
4 Pb 0.484 0.000 0.397 x2

Values from the calculation:
Offset from the most stable computed form in meV/atom: 242.8
Total DFT energy (no corrections) in eV per cell: -62.33
Density of states at the Fermi level in states/eV per cell: 7.0
DFT formation energy in eV per atom: 0.522

(8)
Re2AsPb: optimized geometry, PBE.

Cell lengths 4.574, 4.574, 3.249 Å; angles 90.00, 90.00, 90.00 degrees
Space group P4/mmm (No. 123)
Unique sites:
1 Re 0.000 0.500 0.000 x2
2 As 0.000 0.000 0.500 x1
3 Pb 0.500 0.500 0.500 x1

Values from the calculation:
Offset from the most stable computed form in meV/atom: 682.0
Total DFT energy (no corrections) in eV per cell: -29.41
Density of states at the Fermi level in states/eV per cell: 3.6
DFT formation energy in eV per atom: 0.961